The following is a DFT calculation (PBE) of an optimized crystal structure of FeCu2C.

Output
DFT total energy (eV/atom): -5.77
Total moment (Bohr magnetons per cell): 5.6

Cell: 5.077 6.962 4.583 Å, 90.00 90.00 90.00°
Site moments in Bohr magnetons follow the coordinates.
Fractional coordinates of all 16 atoms:
Cu: 0.185 0.572 0.670  0.00
Cu: 0.185 0.928 0.670  0.00
Cu: 0.815 0.072 0.330  0.00
Cu: 0.815 0.428 0.330  0.00
Cu: 0.315 0.428 0.170  0.00
Cu: 0.315 0.072 0.170  -0.01
Cu: 0.685 0.928 0.830  -0.01
Cu: 0.685 0.572 0.830  0.00
C: 0.376 0.750 0.980  -0.06
C: 0.624 0.250 0.020  -0.06
C: 0.124 0.250 0.480  -0.05
C: 0.876 0.750 0.520  -0.05
Fe: 0.455 0.250 0.662  1.43
Fe: 0.045 0.750 0.162  1.52
Fe: 0.545 0.750 0.338  1.43
Fe: 0.955 0.250 0.838  1.52

***

The following is a DFT calculation (PBE) of an optimized crystal structure of LuCoSiNi.

Output
DFT total energy (eV/atom): -6.10
Total moment (Bohr magnetons per cell): 0.0
Polymorph energy (0 for the lowest one) (eV per atom): 0.000

Cell: 4.272 4.272 4.272 Å, 60.00 60.00 60.00°
Fractional coordinates of all 4 atoms:
Si: 0.000 0.000 0.000
Lu: 0.500 0.500 0.500
Co: 0.750 0.750 0.750
Ni: 0.250 0.250 0.250

***

The following is a DFT calculation (PBE) of an optimized crystal structure of AlFe2B.

Output
DFT total energy (eV/atom): -6.91
Total moment (Bohr magnetons per cell): 5.2

Cell: 5.386 5.386 5.386 Å, 90.00 90.00 90.00°
Site moments in Bohr magnetons follow the coordinates.
Fractional coordinates of all 16 atoms:
Fe: 0.227 0.773 0.227  0.69
Fe: 0.227 0.227 0.773  0.70
Fe: 0.227 0.773 0.773  0.70
Fe: 0.773 0.773 0.773  0.70
Fe: 0.227 0.227 0.227  0.70
Fe: 0.773 0.227 0.773  0.69
Fe: 0.773 0.227 0.227  0.70
Fe: 0.773 0.773 0.227  0.70
B: 0.500 0.000 0.000  -0.06
B: 0.000 0.500 0.000  -0.05
B: 0.000 0.000 0.500  -0.04
B: 0.000 0.000 0.000  -0.06
Al: 0.500 0.500 0.000  -0.02
Al: 0.500 0.500 0.500  -0.02
Al: 0.000 0.500 0.500  -0.02
Al: 0.500 0.000 0.500  -0.02

***

The following is a DFT calculation (PBE) of an optimized crystal structure of AgBIr.

Output
DFT total energy (eV/atom): -4.99
Total moment (Bohr magnetons per cell): 0.0
Polymorph energy (0 for the lowest one) (eV per atom): 0.000

Cell: 4.043 4.043 4.043 Å, 60.00 60.00 60.00°
Fractional coordinates of all 3 atoms:
Ag: 0.250 0.250 0.250
Ir: 0.000 0.000 0.000
B: 0.750 0.750 0.750

***

The following is a DFT calculation (PBE) of an optimized crystal structure of HoInHgTe3.

Output
DFT total energy (eV/atom): -3.45
Total moment (Bohr magnetons per cell): 0.0
Polymorph energy (0 for the lowest one) (eV per atom): 0.063

Cell: 9.869 9.869 9.525 Å, 102.15 102.15 25.40°
Fractional coordinates of all 12 atoms:
Te: 0.666 0.666 0.362
Te: 0.000 0.000 0.500
Te: 0.693 0.693 0.828
Te: 0.334 0.334 0.638
Te: 0.307 0.307 0.172
Te: 0.500 0.500 0.000
In: 0.132 0.132 0.082
In: 0.868 0.868 0.918
Ho: 0.827 0.827 0.409
Ho: 0.173 0.173 0.591
Hg: 0.461 0.461 0.278
Hg: 0.539 0.539 0.722

***

The following is a DFT calculation (PBE) of an optimized crystal structure of TmTe2Pd2.

Output
DFT total energy (eV/atom): -4.80
Total moment (Bohr magnetons per cell): 0.0

Cell: 4.021 4.021 7.475 Å, 105.60 105.60 90.00°
Fractional coordinates of all 5 atoms:
Tm: 0.000 0.000 0.000
Te: 0.385 0.385 0.769
Te: 0.615 0.615 0.231
Pd: 0.750 0.250 0.500
Pd: 0.250 0.750 0.500

***

- What is the formula in the first record?
  FeCu2C

***

- total moment of number 5 (HoInHgTe3)?
  0.0 Bohr magnetons per cell